[1]
# TeP2WCl | the Alexandria database | PBE-GGA | optimized geometry
# **Calculated volume**: 108.4 Å³/f.u.
# **Formation energy from raw total energies**: 0.4242 eV per atom
data_TeP2WCl
_chemical_formula_sum 'Te1 P2 W1 Cl1'
_space_group_name_H-M_alt 'P 1'
_space_group_IT_number 1
_cell_length_a 4.839
_cell_length_b 4.839
_cell_length_c 4.630
_cell_angle_alpha 90.00
_cell_angle_beta 90.00
_cell_angle_gamma 90.00
loop_
_space_group_symop_operation_xyz
'x,y,z'
loop_
_atom_site_label
_atom_site_fract_x
_atom_site_fract_y
_atom_site_fract_z
Te1 0.000 0.000 0.000
P1 0.000 0.500 0.500
P2 0.500 0.000 0.500
W1 0.500 0.500 0.500
Cl1 0.500 0.500 0.000



[2]
# BaMgScV2 | the Alexandria database | PBE-GGA | optimized geometry
# **Calculated volume**: 157.2 Å³/f.u.
# **Energy of formation from the pure elements**: 1.445 eV/atom
data_BaMgScV2
_chemical_formula_sum 'Ba1 Mg1 Sc1 V2'
_space_group_name_H-M_alt 'P 1'
_space_group_IT_number 1
_cell_length_a 5.229
_cell_length_b 5.229
_cell_length_c 5.750
_cell_angle_alpha 90.00
_cell_angle_beta 90.00
_cell_angle_gamma 90.00
loop_
_space_group_symop_operation_xyz
'x,y,z'
loop_
_atom_site_label
_atom_site_fract_x
_atom_site_fract_y
_atom_site_fract_z
Ba1 0.000 0.000 0.000
Mg1 0.000 0.000 0.500
Sc1 0.500 0.500 0.000
V1 0.000 0.500 0.500
V2 0.500 0.000 0.500



[3]
# CdAg6Cl12 | the Alexandria database | PBE-GGA | optimized geometry
# **Calculated volume**: 510.6 Å³/f.u.
# **Formation energy from raw total energies**: -0.4422 eV per atom
data_CdAg6Cl12
_chemical_formula_sum 'Cd1 Ag6 Cl12'
_space_group_name_H-M_alt 'P 1'
_space_group_IT_number 1
_cell_length_a 8.342
_cell_length_b 8.342
_cell_length_c 8.342
_cell_angle_alpha 104.72
_cell_angle_beta 104.72
_cell_angle_gamma 104.72
loop_
_space_group_symop_operation_xyz
'x,y,z'
loop_
_atom_site_label
_atom_site_fract_x
_atom_site_fract_y
_atom_site_fract_z
Cd1 0.000 0.000 0.000
Ag1 0.107 0.273 0.652
Ag2 0.273 0.652 0.107
Ag3 0.348 0.893 0.727
Ag4 0.652 0.107 0.273
Ag5 0.727 0.348 0.893
Ag6 0.893 0.727 0.348
Cl1 0.011 0.849 0.685
Cl2 0.151 0.315 0.989
Cl3 0.179 0.672 0.371
Cl4 0.315 0.989 0.151
Cl5 0.328 0.629 0.821
Cl6 0.371 0.179 0.672
Cl7 0.629 0.821 0.328
Cl8 0.672 0.371 0.179
Cl9 0.685 0.011 0.849
Cl10 0.821 0.328 0.629
Cl11 0.849 0.685 0.011
Cl12 0.989 0.151 0.315



- Which formula does entry 3 have?
  CdAg6Cl12